# 1
Here is a relaxed ThBi8Au2 crystal from Alexandria via LeMat-Bulk. Energies are from PBE.

Output
* DOS at the Fermi energy: 0.429 states/eV/atom
* calculated volume: 30.43 A^3/atom
* DFT formation energy: -0.029 eV/atom
* magnetic moment: 0.000 μB/f.u.

CIF file:
```
data_ThBi8Au2
_chemical_formula_sum 'Th1 Bi8 Au2'
_cell_length_a 7.475
_cell_length_b 7.475
_cell_length_c 8.092
_cell_angle_alpha 102.78
_cell_angle_beta 102.78
_cell_angle_gamma 49.77
_symmetry_space_group_name_H-M 'P 1'
_symmetry_Int_Tables_number 1
loop_
_symmetry_equiv_pos_as_xyz
'x,y,z'
loop_
_atom_site_label
_atom_site_fract_x
_atom_site_fract_y
_atom_site_fract_z
Th1 0.000 0.000 0.000
Bi1 0.135 0.641 0.572
Bi2 0.215 0.215 0.835
Bi3 0.359 0.865 0.428
Bi4 0.431 0.431 0.135
Bi5 0.569 0.569 0.865
Bi6 0.641 0.135 0.572
Bi7 0.785 0.785 0.165
Bi8 0.865 0.359 0.428
Au1 0.223 0.223 0.209
Au2 0.777 0.777 0.791
```

---

# 2
Here is a relaxed ThBiAu4 crystal from Alexandria via LeMat-Bulk. Energies are from PBE.

Output
* DOS at the Fermi energy: 0.574 states/eV/atom
* calculated volume: 22.24 A^3/atom
* DFT formation energy: -0.340 eV/atom
* magnetic moment: 0.000 μB/f.u.

CIF file:
```
data_ThBiAu4
_chemical_formula_sum 'Th1 Bi1 Au4'
_cell_length_a 5.736
_cell_length_b 5.736
_cell_length_c 5.736
_cell_angle_alpha 60.00
_cell_angle_beta 60.00
_cell_angle_gamma 60.00
_symmetry_space_group_name_H-M 'P 1'
_symmetry_Int_Tables_number 1
loop_
_symmetry_equiv_pos_as_xyz
'x,y,z'
loop_
_atom_site_label
_atom_site_fract_x
_atom_site_fract_y
_atom_site_fract_z
Th1 0.000 0.000 0.000
Bi1 0.750 0.750 0.750
Au1 0.375 0.375 0.375
Au2 0.375 0.375 0.876
Au3 0.375 0.876 0.375
Au4 0.876 0.375 0.375
```

---

# 3
Here is a relaxed Th6Bi5Au crystal from Alexandria via LeMat-Bulk. Energies are from PBE.

Output
* DOS at the Fermi energy: 0.580 states/eV/atom
* calculated volume: 33.52 A^3/atom
* DFT formation energy: -0.572 eV/atom
* magnetic moment: 0.000 μB/f.u.

CIF file:
```
data_Th6Bi5Au
_chemical_formula_sum 'Th6 Bi5 Au1'
_cell_length_a 7.898
_cell_length_b 7.898
_cell_length_c 7.880
_cell_angle_alpha 99.64
_cell_angle_beta 99.64
_cell_angle_gamma 119.76
_symmetry_space_group_name_H-M 'P 1'
_symmetry_Int_Tables_number 1
loop_
_symmetry_equiv_pos_as_xyz
'x,y,z'
loop_
_atom_site_label
_atom_site_fract_x
_atom_site_fract_y
_atom_site_fract_z
Th1 0.077 0.389 0.734
Th2 0.229 0.229 0.255
Th3 0.389 0.077 0.734
Th4 0.611 0.923 0.266
Th5 0.771 0.771 0.745
Th6 0.923 0.611 0.266
Bi1 0.178 0.822 0.000
Bi2 0.336 0.664 0.500
Bi3 0.500 0.500 0.000
Bi4 0.664 0.336 0.500
Bi5 0.822 0.178 0.000
Au1 0.000 0.000 0.500
```

---

# 4
Here is a relaxed Th3Bi4Au3 crystal from Alexandria via LeMat-Bulk. Energies are from PBE.

Output
* DOS at the Fermi energy: 0.741 states/eV/atom
* calculated volume: 27.83 A^3/atom
* DFT formation energy: -0.511 eV/atom
* magnetic moment: 0.000 μB/f.u.

CIF file:
```
data_Th3Bi4Au3
_chemical_formula_sum 'Th6 Bi8 Au6'
_cell_length_a 8.975
_cell_length_b 8.975
_cell_length_c 8.975
_cell_angle_alpha 109.47
_cell_angle_beta 109.47
_cell_angle_gamma 109.47
_symmetry_space_group_name_H-M 'P 1'
_symmetry_Int_Tables_number 1
loop_
_symmetry_equiv_pos_as_xyz
'x,y,z'
loop_
_atom_site_label
_atom_site_fract_x
_atom_site_fract_y
_atom_site_fract_z
Th1 0.125 0.750 0.875
Th2 0.250 0.625 0.375
Th3 0.375 0.250 0.625
Th4 0.625 0.375 0.250
Th5 0.750 0.875 0.125
Th6 0.875 0.125 0.750
Bi1 0.000 0.312 0.500
Bi2 0.000 0.812 0.500
Bi3 0.188 0.188 0.188
Bi4 0.312 0.500 0.000
Bi5 0.500 0.000 0.312
Bi6 0.500 0.000 0.812
Bi7 0.688 0.688 0.688
Bi8 0.812 0.500 0.000
Au1 0.125 0.875 0.250
Au2 0.250 0.125 0.875
Au3 0.375 0.625 0.750
Au4 0.625 0.750 0.375
Au5 0.750 0.375 0.625
Au6 0.875 0.250 0.125
```

---

What is the DFT formation energy in the second record?
-0.340 eV/atom